Pb5Au, optimized geometry, DFT PBE; crystal system = monoclinic; energy above the most stable polymorph in this dataset = 0.009 eV per atom; spin magnetization = 0.00 μB per formula unit
1.0
-1.683 -1.915 6.337
-3.964 -3.586 4.252
3.792 -6.824 1.320
Pb Au
5 1
Direct
0.631 0.631 0.756
0.972 0.972 0.556
0.618 0.618 0.201
0.326 0.326 0.911
0.314 0.314 0.355
0.972 0.972 0.056

***

Pb5Au4, optimized geometry, DFT PBE; crystal system = monoclinic; energy above the most stable polymorph in this dataset = 0.000 eV per atom; spin magnetization = 0.00 μB per formula unit
1.0
-0.653 4.148 -0.309
-5.295 1.487 2.479
2.672 3.249 9.280
Pb Au
5 4
Direct
0.890 0.827 0.392
0.000 0.000 0.000
0.110 0.173 0.608
0.756 0.654 0.833
0.244 0.346 0.167
0.629 0.347 0.394
0.371 0.653 0.606
0.470 0.243 0.817
0.530 0.757 0.183

***

Pb5Au, optimized geometry, DFT PBE; crystal system = cubic; energy above the most stable polymorph in this dataset = 0.281 eV per atom; spin magnetization = 0.00 μB per formula unit
1.0
0.000 4.557 4.557
4.557 0.000 4.557
4.557 4.557 0.000
Pb Au
5 1
Direct
0.250 0.250 0.250
0.125 0.625 0.625
0.625 0.625 0.625
0.625 0.625 0.125
0.625 0.125 0.625
0.000 0.000 0.000

***

PbAu6, optimized geometry, DFT PBE; crystal system = orthorhombic; energy above the most stable polymorph in this dataset = 0.000 eV per atom; spin magnetization = 0.00 μB per formula unit
1.0
5.673 0.000 0.000
0.000 9.364 0.000
0.000 0.000 10.928
Au Pb
24 4
Direct
0.250 0.810 0.785
0.496 0.949 0.307
0.250 0.066 0.928
0.250 0.169 0.172
0.250 0.566 0.572
0.004 0.449 0.193
0.750 0.831 0.828
0.750 0.934 0.072
0.250 0.372 0.976
0.504 0.051 0.693
0.750 0.628 0.024
0.996 0.051 0.693
0.750 0.690 0.285
0.250 0.310 0.715
0.750 0.331 0.672
0.996 0.551 0.807
0.250 0.872 0.524
0.750 0.434 0.428
0.496 0.449 0.193
0.250 0.669 0.328
0.750 0.190 0.215
0.750 0.128 0.476
0.504 0.551 0.807
0.004 0.949 0.307
0.250 0.279 0.437
0.250 0.779 0.063
0.750 0.221 0.937
0.750 0.721 0.563

***

Pb4Au, optimized geometry, DFT PBE; crystal system = tetragonal; spin magnetization = 0.00 μB per formula unit; final energy = -18.18 eV for the cell shown
1.0
6.627 -0.096 0.000
-5.646 3.472 0.000
-0.491 -1.688 6.390
Au Pb
1 4
Direct
0.000 0.000 0.000
0.581 0.228 0.809
0.228 0.419 0.648
0.772 0.581 0.352
0.419 0.772 0.191

***

Pb3Au2, optimized geometry, DFT PBE; crystal system = orthorhombic; spin magnetization = 0.00 μB per formula unit; final energy = -35.74 eV for the cell shown
1.0
3.257 -8.074 5.367
-2.378 -6.791 6.036
1.476 -4.637 -3.189
Pb Au
6 4
Direct
0.953 0.450 0.887
0.800 0.297 0.541
0.363 0.541 0.297
0.709 0.887 0.450
0.292 0.208 0.208
0.042 0.958 0.958
0.412 0.807 0.398
0.383 0.398 0.807
0.443 0.838 0.867
0.852 0.867 0.838

***

Pb3Au, optimized geometry, DFT PBE; crystal system = tetragonal; spin magnetization = 0.00 μB per formula unit; final energy = -58.59 eV for the cell shown
1.0
9.139 -0.011 0.000
-7.141 5.704 0.000
-0.999 -2.847 8.627
Pb Au
12 4
Direct
0.855 0.855 0.190
0.145 0.335 0.000
0.335 0.145 0.000
0.067 0.067 0.596
0.933 0.529 0.000
0.641 0.000 0.641
0.665 0.665 0.810
0.471 0.471 0.404
0.529 0.933 0.000
0.359 0.000 0.359
0.000 0.359 0.359
0.000 0.641 0.641
0.500 0.794 0.294
0.500 0.206 0.706
0.206 0.500 0.706
0.794 0.500 0.294

***

Pb3Au, optimized geometry, DFT PBE; crystal system = tetragonal; spin magnetization = 0.00 μB per formula unit; final energy = -14.52 eV for the cell shown
1.0
3.547 0.000 0.000
0.000 3.547 0.000
0.000 0.000 8.857
Pb Au
3 1
Direct
0.500 0.500 0.789
0.500 0.500 0.211
0.000 0.000 0.500
0.000 0.000 0.000

***

Pb5Au, optimized geometry, DFT PBE; crystal system = tetragonal; energy above the most stable polymorph in this dataset = 0.021 eV per atom; spin magnetization = 0.00 μB per formula unit
1.0
7.245 0.000 0.000
0.000 7.245 0.000
-3.622 -3.622 6.960
Pb Au
10 2
Direct
0.485 0.306 0.290
0.515 0.694 0.710
0.694 0.194 0.710
0.015 0.515 0.710
0.806 0.985 0.290
0.194 0.015 0.710
0.000 0.000 0.000
0.985 0.485 0.290
0.306 0.806 0.290
0.500 0.500 0.000
0.750 0.750 0.500
0.250 0.250 0.500

***

Pb3Au, optimized geometry, DFT PBE; crystal system = cubic; spin magnetization = 0.00 μB per formula unit; final energy = -14.29 eV for the cell shown
1.0
-4.125 2.446 -0.237
-1.491 -2.124 4.039
1.953 3.544 2.585
Pb Au
3 1
Direct
0.000 0.500 0.500
0.500 0.500 0.000
0.500 0.000 0.500
0.000 0.000 0.000